Here is a relaxed structure of CaV2RhO8 from the Alexandria database. Energies are from GGA+U.

Results
Total DFT energy (no corrections) in eV/atom: -7.06
Space-group type: P-3m1 (164)
Volume in Å³/f.u.: 174

a = 5.621 Å, b = 5.621 Å, c = 6.355 Å
α = 90.00°, β = 90.00°, γ = 120.00°
Site moments in Bohr magnetons follow the coordinates.
Atoms (fractional coordinates):
V 0.333 0.667 0.730  -0.04
Ca 0.000 0.000 0.500  0.00
O 0.842 0.158 0.197  0.06
O 0.316 0.158 0.197  0.06
V 0.667 0.333 0.270  -0.04
O 0.684 0.842 0.803  0.06
Rh 0.000 0.000 0.000  0.53
O 0.667 0.333 0.531  0.03
O 0.158 0.316 0.803  0.06
O 0.333 0.667 0.469  0.03
O 0.842 0.684 0.197  0.06
O 0.158 0.842 0.803  0.06